The following is a PBE calculation of crystalline KAlIr2 at its relaxed geometry, from the Alexandria database.

```
data_KAlIr2
_cell_length_a 2.8607
_cell_length_b 2.8607
_cell_length_c 8.6918
_cell_angle_alpha 90.00
_cell_angle_beta 90.00
_cell_angle_gamma 90.00
_symmetry_space_group_name_H-M 'P 4/m m m'
_symmetry_Int_Tables_number 123
_symmetry_space_group_name_Hall '-P 4 2'
loop_
_atom_site_label
_atom_site_type_symbol
_atom_site_fract_x
_atom_site_fract_y
_atom_site_fract_z
K1 K 0.0000 0.0000 0.0000
Al1 Al 0.0000 0.0000 0.5000
Ir1 Ir 0.5000 0.5000 0.3121
```

Values from the calculation:
The density of states at the Fermi level comes out at 0.832 states/eV per atom. The formation energy is 0.031 eV per atom. The density is 10.5 g/cm³. The raw total energy comes out at -5.610 eV per atom. As for the calculated volume: 71 Å³ per cell.